Entry 1:
DFT (PBE-GGA) results for a geometry-optimized Cu2Ag5 structure.

a = 16.3019 Å, b = 16.3019 Å, c = 16.3019 Å
α = 10.06°, β = 10.06°, γ = 10.06°
Atoms (fractional coordinates):
Cu  0.2121  0.2121  0.2121
Cu  0.7879  0.7879  0.7879
Ag  0.0760  0.0760  0.0760
Ag  0.3586  0.3586  0.3586
Ag  0.5000  0.5000  0.5000
Ag  0.6414  0.6414  0.6414
Ag  0.9240  0.9240  0.9240

Values from the calculation:
total DFT energy (no corrections) = -3.00 eV/atom
ΔE_f = 0.531 eV/f.u.
energy relative to the lowest polymorph listed for this composition = 0.040 eV/atom


Entry 2:
DFT (PBE-GGA) results for a geometry-optimized Cu3Ag7 structure.

a = 4.9267 Å, b = 4.9267 Å, c = 8.9368 Å
α = 90.61°, β = 90.61°, γ = 48.11°
Atoms (fractional coordinates):
Cu  0.0000  0.0000  0.0000
Cu  0.5056  0.5056  0.5060
Cu  0.7069  0.7069  0.9061
Ag  0.1097  0.1097  0.7133
Ag  0.2015  0.2015  0.4076
Ag  0.2948  0.2948  0.0933
Ag  0.4139  0.4139  0.8101
Ag  0.5965  0.5965  0.1934
Ag  0.8084  0.8084  0.6073
Ag  0.9038  0.9038  0.3032

Values from the calculation:
total DFT energy (no corrections) = -3.01 eV/atom
ΔE_f = 0.783 eV/f.u.
energy relative to the lowest polymorph listed for this composition = 0.049 eV/atom


Entry 3:
DFT (PBE-GGA) results for a geometry-optimized Cu4Ag5 structure.

a = 13.5953 Å, b = 13.5953 Å, c = 13.5953 Å
α = 167.93°, β = 164.83°, γ = 19.43°
Atoms (fractional coordinates):
Cu  0.0000  0.0000  0.0000
Cu  0.0922  0.0922  0.0000
Cu  0.3279  0.3279  0.0000
Cu  0.5461  0.5461  0.0000
Ag  0.2103  0.2103  0.0000
Ag  0.4455  0.4455  0.0000
Ag  0.6467  0.6467  0.0000
Ag  0.7740  0.7740  0.0000
Ag  0.8818  0.8818  0.0000

Values from the calculation:
total DFT energy (no corrections) = -3.14 eV/atom
ΔE_f = 0.715 eV/f.u.
energy relative to the lowest polymorph listed for this composition = 0.042 eV/atom


Entry 4:
DFT (PBE-GGA) results for a geometry-optimized Cu3Ag7 structure.

a = 4.9163 Å, b = 4.9218 Å, c = 13.5608 Å
α = 87.10°, β = 86.72°, γ = 80.40°
Atoms (fractional coordinates):
Cu  0.0000  0.0000  0.0000
Cu  0.0108  0.5889  0.3904
Cu  0.5037  0.4912  0.4857
Cu  0.5168  0.8767  0.0911
Cu  0.7510  0.3370  0.1332
Cu  0.7641  0.5426  0.9554
Ag  0.0034  0.3925  0.5845
Ag  0.0097  0.1954  0.8027
Ag  0.2555  0.8352  0.6416
Ag  0.2564  0.4413  0.0442
Ag  0.2577  0.0377  0.4382
Ag  0.2584  0.6454  0.8519
Ag  0.2596  0.2388  0.2363
Ag  0.5074  0.2893  0.6914
Ag  0.5088  0.6831  0.2895
Ag  0.5229  0.0809  0.9055
Ag  0.7504  0.9330  0.5367
Ag  0.7584  0.7375  0.7485
Ag  0.7632  0.1488  0.3390
Ag  0.9951  0.7965  0.1865

Values from the calculation:
total DFT energy (no corrections) = -3.01 eV/atom
ΔE_f = 0.772 eV/f.u.
energy relative to the lowest polymorph listed for this composition = 0.048 eV/atom


Entry 5:
DFT (PBE-GGA) results for a geometry-optimized CuAg structure.

a = 2.8240 Å, b = 3.6657 Å, c = 11.5426 Å
α = 90.00°, β = 90.00°, γ = 90.00°
Atoms (fractional coordinates):
Cu  0.0000  0.0000  0.0000
Cu  0.0000  0.0000  0.5000
Cu  0.5000  0.5000  0.1070
Cu  0.5000  0.5000  0.8930
Ag  0.0000  0.0000  0.2308
Ag  0.0000  0.0000  0.7692
Ag  0.5000  0.5000  0.3761
Ag  0.5000  0.5000  0.6239

Values from the calculation:
total DFT energy (no corrections) = -3.18 eV/atom
ΔE_f = 0.172 eV/f.u.


Entry 6:
DFT (PBE-GGA) results for a geometry-optimized CuAg structure.

a = 3.8758 Å, b = 3.8758 Å, c = 7.9572 Å
α = 90.00°, β = 90.00°, γ = 90.00°
Atoms (fractional coordinates):
Cu  0.0000  0.0000  0.2500
Cu  0.0000  0.0000  0.7500
Cu  0.0000  0.5000  0.0000
Cu  0.5000  0.0000  0.5000
Ag  0.0000  0.5000  0.5000
Ag  0.5000  0.0000  0.0000
Ag  0.5000  0.5000  0.2500
Ag  0.5000  0.5000  0.7500

Values from the calculation:
total DFT energy (no corrections) = -3.17 eV/atom
ΔE_f = 0.206 eV/f.u.


Entry 7:
DFT (PBE-GGA) results for a geometry-optimized CuAg structure.

a = 5.8064 Å, b = 5.8064 Å, c = 9.3845 Å
α = 97.88°, β = 97.88°, γ = 28.42°
Atoms (fractional coordinates):
Cu  0.0000  0.0000  0.0000
Cu  0.3107  0.3107  0.9070
Cu  0.4055  0.4055  0.1782
Cu  0.5098  0.5098  0.5159
Cu  0.6155  0.6155  0.8267
Ag  0.0908  0.0908  0.3099
Ag  0.2033  0.2033  0.6184
Ag  0.7035  0.7035  0.1007
Ag  0.8198  0.8198  0.3966
Ag  0.9210  0.9210  0.7153

Values from the calculation:
total DFT energy (no corrections) = -3.19 eV/atom
ΔE_f = 0.169 eV/f.u.


Entry 8:
DFT (PBE-GGA) results for a geometry-optimized Cu3Ag2 structure.

a = 4.7302 Å, b = 4.7452 Å, c = 7.1415 Å
α = 108.54°, β = 103.64°, γ = 98.76°
Atoms (fractional coordinates):
Cu  0.0410  0.0964  0.3334
Cu  0.1331  0.2784  0.0432
Cu  0.4370  0.9157  0.1461
Cu  0.5630  0.0843  0.8539
Cu  0.8669  0.7216  0.9568
Cu  0.9590  0.9036  0.6666
Ag  0.2694  0.4949  0.7696
Ag  0.3346  0.7040  0.4490
Ag  0.6654  0.2960  0.5510
Ag  0.7306  0.5051  0.2304

Values from the calculation:
total DFT energy (no corrections) = -3.27 eV/atom
ΔE_f = 0.467 eV/f.u.
energy relative to the lowest polymorph listed for this composition = 0.051 eV/atom


Entry 9:
DFT (PBE-GGA) results for a geometry-optimized CuAg structure.

a = 2.8513 Å, b = 2.8513 Å, c = 18.2393 Å
α = 90.00°, β = 90.00°, γ = 90.00°
Atoms (fractional coordinates):
Cu  0.0000  0.0000  0.0000
Cu  0.0000  0.0000  0.1618
Cu  0.0000  0.0000  0.5987
Cu  0.5000  0.5000  0.0810
Cu  0.5000  0.5000  0.6793
Ag  0.0000  0.0000  0.3806
Ag  0.0000  0.0000  0.7800
Ag  0.5000  0.5000  0.2627
Ag  0.5000  0.5000  0.4983
Ag  0.5000  0.5000  0.8987

Values from the calculation:
total DFT energy (no corrections) = -3.22 eV/atom
ΔE_f = 0.111 eV/f.u.


Entry 10:
DFT (PBE-GGA) results for a geometry-optimized Cu3Ag7 structure.

a = 6.9580 Å, b = 2.8634 Å, c = 8.3206 Å
α = 90.00°, β = 103.33°, γ = 90.00°
Atoms (fractional coordinates):
Cu  0.0000  0.0000  0.0000
Cu  0.0850  0.5000  0.2754
Cu  0.8235  0.0000  0.3874
Ag  0.2028  0.0000  0.5635
Ag  0.2870  0.5000  0.8863
Ag  0.3821  0.0000  0.1892
Ag  0.5265  0.5000  0.4824
Ag  0.6035  0.0000  0.7962
Ag  0.7112  0.5000  0.1037
Ag  0.9072  0.5000  0.6898

Values from the calculation:
total DFT energy (no corrections) = -3.02 eV/atom
ΔE_f = 0.710 eV/f.u.
energy relative to the lowest polymorph listed for this composition = 0.042 eV/atom